[1]
A plane-wave DFT calculation with GGA-PBEsol was carried out for CaZn2As2 after structural relaxation.

Structure (POSCAR):
```
CaZn2As2
1.0
4.1221 0.0000 0.0000
-2.0611 3.5699 0.0000
0.0000 0.0000 6.9120
Ca Zn As
1 2 2
Direct
0.0000 0.0000 0.0000
0.3333 0.6667 0.6309
0.6667 0.3333 0.3691
0.3333 0.6667 0.2572
0.6667 0.3333 0.7428
```

raw total energy	-0.1380	Ha/atom
energy of formation from the pure elements	-0.652	eV per atom
size of the total moment	0.00	μB per cell
calculated volume	20.34	Å³ per atom



[2]
A plane-wave DFT calculation with GGA-PBEsol was carried out for CaZn2As after structural relaxation.

Structure (POSCAR):
```
CaZn2As
1.0
3.6418 0.0000 0.0000
0.0000 3.6418 0.0000
0.0000 0.0000 5.9185
Ca Zn As
1 2 1
Direct
0.0000 0.0000 0.0000
0.5000 0.5000 0.2914
0.5000 0.5000 0.7086
0.0000 0.0000 0.5000
```

raw total energy	-0.1022	Ha/atom
energy of formation from the pure elements	-0.180	eV per atom
size of the total moment	0.00	μB per cell
calculated volume	19.62	Å³ per atom



[3]
A plane-wave DFT calculation with GGA-PBEsol was carried out for CaZnAs after structural relaxation.

Structure (POSCAR):
```
CaZnAs
1.0
4.9854 -2.0955 0.0000
4.9854 2.0955 0.0000
-1.1584 0.0000 6.3426
Ca Zn As
2 2 2
Direct
0.1204 0.1204 0.2815
0.8796 0.8796 0.7185
0.3886 0.3886 0.0667
0.6114 0.6114 0.9333
0.1744 0.1744 0.7475
0.8256 0.8256 0.2525
```

raw total energy	-0.1360	Ha/atom
energy of formation from the pure elements	-0.761	eV per atom
size of the total moment	0.00	μB per cell
calculated volume	22.09	Å³ per atom



[4]
A plane-wave DFT calculation with GGA-PBEsol was carried out for CaZnAs after structural relaxation.

Structure (POSCAR):
```
CaZnAs
1.0
-1.7525 1.7525 5.0656
1.7525 -1.7525 5.0656
1.7525 1.7525 -5.0656
Ca Zn As
1 1 1
Direct
0.0000 0.0000 0.0000
0.3038 0.3038 0.0000
0.6936 0.6936 0.0000
```

raw total energy	-0.1229	Ha/atom
energy of formation from the pure elements	-0.403	eV per atom
size of the total moment	0.00	μB per cell
calculated volume	20.74	Å³ per atom



[5]
A plane-wave DFT calculation with GGA-PBEsol was carried out for CaZnAs4 after structural relaxation.

Structure (POSCAR):
```
CaZnAs4
1.0
0.0000 3.9480 3.9480
3.9480 0.0000 3.9480
3.9480 3.9480 0.0000
Ca Zn As
1 1 4
Direct
0.0000 0.0000 0.0000
0.2500 0.2500 0.2500
0.1324 0.6225 0.6225
0.6225 0.1324 0.6225
0.6225 0.6225 0.1324
0.6225 0.6225 0.6225
```

raw total energy	-0.1513	Ha/atom
energy of formation from the pure elements	-0.093	eV per atom
size of the total moment	0.00	μB per cell
calculated volume	20.51	Å³ per atom



[6]
A plane-wave DFT calculation with GGA-PBEsol was carried out for Ca2ZnAs2 after structural relaxation.

Structure (POSCAR):
```
Ca2ZnAs2
1.0
-2.7813 2.7813 6.2979
2.7813 -2.7813 6.2979
2.7813 2.7813 -6.2979
Ca Zn As
2 1 2
Direct
0.2500 0.7500 0.5000
0.7500 0.2500 0.5000
0.0000 0.0000 0.0000
0.1812 0.1812 0.0000
0.8188 0.8188 0.0000
```

raw total energy	-0.1423	Ha/atom
energy of formation from the pure elements	-0.659	eV per atom
size of the total moment	0.00	μB per cell
calculated volume	38.97	Å³ per atom



[7]
A plane-wave DFT calculation with GGA-PBEsol was carried out for CaZr2As after structural relaxation.

Structure (POSCAR):
```
CaZr2As
1.0
3.4986 0.0000 0.0000
0.0000 3.4986 0.0000
0.0000 0.0000 7.6756
Ca Zr As
1 2 1
Direct
0.0000 0.0000 0.0000
0.0000 0.0000 0.5769
0.5000 0.5000 0.3399
0.5000 0.5000 0.7355
```

raw total energy	-0.2508	Ha/atom
energy of formation from the pure elements	-0.470	eV per atom
size of the total moment	0.00	μB per cell
calculated volume	23.49	Å³ per atom



[8]
A plane-wave DFT calculation with GGA-PBEsol was carried out for CaZr2As after structural relaxation.

Structure (POSCAR):
```
CaZr2As
1.0
5.3731 -1.7442 0.0000
5.3731 1.7442 0.0000
-3.3222 0.0000 5.0149
Ca Zr As
1 2 1
Direct
0.0000 0.0000 0.0000
0.1794 0.1794 0.6318
0.3885 0.3885 0.4028
0.7235 0.7235 0.9982
```

raw total energy	-0.2454	Ha/atom
energy of formation from the pure elements	-0.323	eV per atom
size of the total moment	0.00	μB per cell
calculated volume	23.50	Å³ per atom